No. 1
First-principles (PBE-GGA) data for a relaxed BeNbAg crystal, as listed in the Alexandria database.

Cell: 2.8295 2.8295 10.9987 Å, 90.00 90.00 90.00°
With the nearest neighbours (Å) after each atom.
Space group I4mm (No. 107)
Symmetry-distinct sites (fractional):
Be  0.0000  0.0000  0.0000 (multiplicity 2)  4 Ag 2.53, 4 Nb 2.60, 4 Be 2.83
Nb  0.0000  0.0000  0.3497 (multiplicity 2)  4 Be 2.60, 4 Nb 2.83
Ag  0.0000  0.0000  0.6404 (multiplicity 2)  4 Be 2.53, 4 Ag 2.83

Results
The value obtained for the mass density is 7.91 g cm⁻³. Its total moment is 0.00 μB per atom. The calculated total energy comes out at -0.2019 hartree per atom. For the polymorph energy (0 for the lowest one), the calculation gives 72 meV per atom.

---

No. 2
First-principles (PBE-GGA) data for a relaxed LiPb crystal, as listed in the Alexandria database.

Cell: 8.8396 8.8396 5.3529 Å, 90.00 90.00 90.00°
With the nearest neighbours (Å) after each atom.
Space group P4/m (No. 83)
Symmetry-distinct sites (fractional):
Li  0.0554  0.2655  0.0000 (multiplicity 4)  4 Pb 2.92-3.19, 2 Li 3.07
Li  0.1122  0.7672  0.5000 (multiplicity 4)  3 Pb 2.85-3.04, 2 Li 3.07
Pb  0.1649  0.4275  0.5000 (multiplicity 4)  5 Li 2.85-3.19, 1 Pb 3.18
Pb  0.2667  0.6148  0.0000 (multiplicity 4)  2 Li 2.92-3.04, 2 Pb 3.25

Results
The value obtained for the mass density is 6.80 g cm⁻³. Its total moment is 0.00 μB per atom. The calculated total energy comes out at -0.1066 hartree per atom.

---

No. 3
First-principles (PBE-GGA) data for a relaxed Pu2RePb crystal, as listed in the Alexandria database.

Cell: 3.2295 3.2295 9.0376 Å, 90.00 90.00 90.00°
With the nearest neighbours (Å) after each atom.
Space group P4/mmm (No. 123)
Symmetry-distinct sites (fractional):
Pu  0.0000  0.0000  0.2009 (multiplicity 2)  4 Re 2.92, 4 Pu 3.23
Re  0.5000  0.5000  0.0000 (multiplicity 1)  8 Pu 2.92, 4 Re 3.23
Pb  0.5000  0.5000  0.5000 (multiplicity 1)  4 Pb 3.23, 8 Pu 3.54

Results
The value obtained for the mass density is 15.53 g cm⁻³. Its total moment is 2.39 μB per atom. The calculated total energy comes out at -0.4116 hartree per atom.

---

No. 4
First-principles (PBE-GGA) data for a relaxed MnSb2TePb crystal, as listed in the Alexandria database.

Cell: 4.8359 4.8359 5.8980 Å, 90.00 90.00 90.00°
With the nearest neighbours (Å) after each atom.
Space group P4/mmm (No. 123)
Symmetry-distinct sites (fractional):
Mn  0.0000  0.0000  0.0000 (multiplicity 1)  4 Sb 2.42
Sb  0.0000  0.5000  0.0000 (multiplicity 2)  2 Mn 2.42
Te  0.0000  0.0000  0.5000 (multiplicity 1)  2 Mn 2.95
Pb  0.5000  0.5000  0.5000 (multiplicity 1)  4 Te 3.42, 8 Sb 3.81

Results
The value obtained for the mass density is 7.62 g cm⁻³. Its total moment is 0.45 μB per atom. As for the formation energy without anion corrections: 287 meV/atom. The calculated total energy comes out at -0.1678 hartree per atom. For the polymorph energy (0 for the lowest one), the calculation gives 0 meV per atom.

---

No. 5
First-principles (PBE-GGA) data for a relaxed Hf2MgBr crystal, as listed in the Alexandria database.

Cell: 4.1349 4.1349 22.1065 Å, 90.00 90.00 90.00°
With the nearest neighbours (Å) after each atom.
Space group I-42d (No. 122)
Symmetry-distinct sites (fractional):
Hf  0.2467  0.2500  0.1250 (multiplicity 8)  4 Hf 2.90-2.94, 2 Mg 3.12, 2 Br 3.13
Mg  0.0000  0.0000  0.0000 (multiplicity 4)  4 Br 2.92, 4 Hf 3.12
Br  0.0000  0.0000  0.5000 (multiplicity 4)  4 Mg 2.92, 4 Hf 3.13

Results
The value obtained for the mass density is 8.10 g cm⁻³. Its total moment is 0.00 μB per atom. As for the formation energy without anion corrections: 353 meV/atom. The calculated total energy comes out at -0.2000 hartree per atom. For the polymorph energy (0 for the lowest one), the calculation gives 0 meV per atom.

---

No. 6
First-principles (PBE-GGA) data for a relaxed Ce3Zn11 crystal, as listed in the Alexandria database.

Cell: 4.5160 8.7076 13.2612 Å, 90.00 90.00 90.00°
With the nearest neighbours (Å) after each atom.
Space group Immm (No. 71)
Symmetry-distinct sites (fractional):
Ce  0.0000  0.0000  0.0000 (multiplicity 2)  12 Zn 3.14-3.29
Ce  0.0000  0.0000  0.2915 (multiplicity 4)  14 Zn 3.05-3.19
Zn  0.0000  0.1755  0.5000 (multiplicity 4)  4 Zn 2.59-2.73
Zn  0.0000  0.2868  0.1434 (multiplicity 8)  4 Zn 2.59-2.75
Zn  0.0000  0.3575  0.3453 (multiplicity 8)  5 Zn 2.48-2.75
Zn  0.0000  0.5000  0.0000 (multiplicity 2)  8 Zn 2.66-2.73

Results
The value obtained for the mass density is 7.26 g cm⁻³. Its total moment is 0.13 μB per atom. The calculated total energy comes out at -0.0937 hartree per atom.

---

No. 7
First-principles (PBE-GGA) data for a relaxed Hg4PSeBr2 crystal, as listed in the Alexandria database.

Cell: 8.0633 8.1543 12.9925 Å, 90.00 90.00 90.00°
With the nearest neighbours (Å) after each atom.
Space group Imma (No. 74)
Symmetry-distinct sites (fractional):
Hg  0.0000  0.0254  0.2359 (multiplicity 8)  2 P 2.73, 2 Br 3.02
Hg  0.2333  0.2500  0.0431 (multiplicity 8)  1 P 2.69, 2 Se 2.83
P  0.2500  0.2500  0.2500 (multiplicity 4)  6 Hg 2.69-2.73
Se  0.0000  0.0000  0.0000 (multiplicity 4)  6 Hg 2.83-3.07
Br  0.0000  0.0000  0.5000 (multiplicity 4)  4 Hg 3.02
Br  0.2500  0.2500  0.7500 (multiplicity 4)  4 Hg 3.02

Results
The value obtained for the mass density is 8.34 g cm⁻³. Its total moment is 0.00 μB per atom. As for the formation energy without anion corrections: -51 meV/atom. The calculated total energy comes out at -0.0637 hartree per atom.

---

No. 8
First-principles (PBE-GGA) data for a relaxed Dy3P2Pd2Rh5 crystal, as listed in the Alexandria database.

Cell: 3.9845 3.9845 26.2131 Å, 90.00 90.00 90.00°
With the nearest neighbours (Å) after each atom.
Space group I4/mmm (No. 139)
Symmetry-distinct sites (fractional):
Dy  0.0000  0.0000  0.0000 (multiplicity 2)  12 Rh 2.82-2.94
Dy  0.0000  0.0000  0.1683 (multiplicity 4)  5 Pd 2.92-3.13, 4 Rh 3.00, 4 P 3.01
P  0.0000  0.0000  0.3718 (multiplicity 4)  4 Rh 2.32, 1 Pd 2.41
Pd  0.0000  0.0000  0.2798 (multiplicity 4)  1 P 2.41
Rh  0.0000  0.0000  0.5000 (multiplicity 2)  4 Dy 2.82, 8 Rh 2.94
Rh  0.0000  0.5000  0.0827 (multiplicity 8)  2 P 2.32

Results
The value obtained for the mass density is 10.19 g cm⁻³. Its total moment is 0.00 μB per atom. The calculated total energy comes out at -0.2553 hartree per atom.

---

No. 9
First-principles (PBE-GGA) data for a relaxed Ca2Hg2Pd crystal, as listed in the Alexandria database.

Cell: 5.9409 5.9409 8.0768 Å, 90.00 90.00 90.00°
With the nearest neighbours (Å) after each atom.
Space group I4/mmm (No. 139)
Symmetry-distinct sites (fractional):
Ca  0.0000  0.5000  0.2500 (multiplicity 4)  4 Hg 3.04
Hg  0.0000  0.0000  0.1671 (multiplicity 4)  1 Pd 2.69, 1 Hg 2.70
Pd  0.0000  0.0000  0.5000 (multiplicity 2)  2 Hg 2.69

Results
The value obtained for the mass density is 6.85 g cm⁻³. Its total moment is 0.00 μB per atom. The calculated total energy comes out at -0.0817 hartree per atom. For the polymorph energy (0 for the lowest one), the calculation gives 305 meV per atom.

---

No. 10
First-principles (PBE-GGA) data for a relaxed Er2MgAg crystal, as listed in the Alexandria database.

Cell: 3.6991 3.6991 7.2553 Å, 90.00 90.00 90.00°
With the nearest neighbours (Å) after each atom.
Space group P4/mmm (No. 123)
Symmetry-distinct sites (fractional):
Er  0.0000  0.0000  0.2398 (multiplicity 2)  4 Ag 3.14, 4 Mg 3.23, 1 Er 3.48
Mg  0.5000  0.5000  0.5000 (multiplicity 1)  8 Er 3.23
Ag  0.5000  0.5000  0.0000 (multiplicity 1)  8 Er 3.14

Results
The value obtained for the mass density is 7.81 g cm⁻³. Its total moment is 0.00 μB per atom. The calculated total energy comes out at -0.1316 hartree per atom. For the polymorph energy (0 for the lowest one), the calculation gives 0 meV per atom.